# CsReCl2, relaxed, DFT GGA-PBE
# Energy relative to the elements, uncorrected: 0.4274 eV/atom
# Offset from the most stable computed form: 278.3 meV/atom
data_CsReCl2
_cell_length_a 7.956
_cell_length_b 7.956
_cell_length_c 7.956
_cell_angle_alpha 90.00
_cell_angle_beta 90.00
_cell_angle_gamma 90.00
_symmetry_space_group_name_H-M 'F m -3 m'
_symmetry_Int_Tables_number 225
_symmetry_space_group_name_Hall '-F 4 2 3'
loop_
_atom_site_label
_atom_site_type_symbol
_atom_site_fract_x
_atom_site_fract_y
_atom_site_fract_z
Cs1 Cs 0.000 0.000 0.000
Re1 Re 0.000 0.000 0.500
Cl1 Cl 0.250 0.250 0.250